AlCrFe after structural relaxation, computed with PBE.

Values from the calculation:
Raw total energy ... -42.56 eV per cell
Density of states at the Fermi level ... 2.126 states/eV/f.u.
Formation energy ... 4.23 kcal/mol of atoms
Crystal system ... monoclinic

a b c (Å): 4.014 4.015 6.411
angles (deg): 90.00 71.59 59.98
Fractional positions:
Al (0.312, 0.115, 0.074)
Cr (0.475, 0.533, 0.326)
Cr (0.856, 0.843, 0.255)
Fe (0.578, 0.982, 0.669)
Fe (0.753, 0.394, 0.912)
Al (0.019, 0.261, 0.508)